Entry from the Alexandria database: Mg2InFe after structural relaxation (PBEsol).

Calculated values
- ΔE_f (eV/atom) = 0.175
- VASP energy (eV per atom) = -3.670

Unit cell a=3.250 b=3.250 c=6.862 alpha=90.00 beta=90.00 gamma=90.00
Site moments in Bohr magnetons follow the coordinates.
Atoms (fractional coordinates):
Mg (0.000, 0.000, 0.999)  0.00
Mg (0.500, 0.500, 0.290)  -0.03
In (0.500, 0.500, 0.713)  -0.07
Fe (0.000, 0.000, 0.498)  2.15



Entry from the Alexandria database: MgInFe2 after structural relaxation (PBEsol).

Calculated values
- ΔE_f (eV/atom) = 0.252
- VASP energy (eV per atom) = -5.405

Unit cell a=3.874 b=3.874 c=3.968 alpha=90.00 beta=90.00 gamma=90.00
Site moments in Bohr magnetons follow the coordinates.
Atoms (fractional coordinates):
Fe (0.000, 0.500, 0.000)  2.28
Fe (0.500, 0.000, 0.000)  2.28
In (0.500, 0.500, 0.500)  -0.10
Mg (0.000, 0.000, 0.500)  -0.03



Entry from the Alexandria database: Mg2InFe after structural relaxation (PBEsol).

Calculated values
- ΔE_f (eV/atom) = 0.169
- VASP energy (eV per atom) = -3.676

Unit cell a=3.166 b=4.632 c=5.578 alpha=114.53 beta=106.49 gamma=90.00
Site moments in Bohr magnetons follow the coordinates.
Atoms (fractional coordinates):
Mg (0.778, 0.778, 0.555)  -0.02
Mg (0.222, 0.222, 0.445)  -0.02
In (0.000, 0.500, 0.000)  -0.06
Fe (0.500, 0.000, 0.000)  2.15



Entry from the Alexandria database: MgIn2Fe after structural relaxation (PBEsol).

Calculated values
- ΔE_f (eV/atom) = 0.200
- VASP energy (eV per atom) = -3.962

Unit cell a=4.139 b=4.238 c=4.238 alpha=90.00 beta=90.00 gamma=90.00
Site moments in Bohr magnetons follow the coordinates.
Atoms (fractional coordinates):
In (0.000, 0.500, 0.000)  -0.01
In (0.000, 0.000, 0.500)  -0.01
Mg (0.500, 0.500, 0.500)  -0.02
Fe (0.500, 0.000, 0.000)  2.55



Entry from the Alexandria database: MgScInFe2 after structural relaxation (PBEsol).

Calculated values
- ΔE_f (eV/atom) = 1.037
- VASP energy (eV per atom) = -4.809

Unit cell a=4.514 b=4.514 c=4.854 alpha=90.00 beta=90.00 gamma=90.00
Site moments in Bohr magnetons follow the coordinates.
Atoms (fractional coordinates):
Mg (0.000, 0.000, 0.000)  -0.04
Sc (0.500, 0.500, 0.500)  -0.32
Fe (0.500, 0.000, 0.000)  2.57
Fe (0.000, 0.500, 0.000)  2.57
In (0.000, 0.000, 0.500)  -0.03



Entry from the Alexandria database: MnIn2FePd after structural relaxation (PBEsol).

Calculated values
- ΔE_f (eV/atom) = 0.797
- VASP energy (eV per atom) = -5.333

Unit cell a=4.609 b=4.802 c=4.802 alpha=90.00 beta=90.00 gamma=90.00
Site moments in Bohr magnetons follow the coordinates.
Atoms (fractional coordinates):
Mn (0.500, 0.500, 0.500)  4.27
Pd (0.500, 0.000, 0.000)  0.34
In (0.000, 0.000, 0.500)  -0.06
In (0.000, 0.500, 0.000)  -0.06
Fe (0.000, 0.000, 0.000)  2.14



Entry from the Alexandria database: InFeMo2 after structural relaxation (PBEsol).

Calculated values
- ΔE_f (eV/atom) = 0.297
- VASP energy (eV per atom) = -8.573

Unit cell a=3.267 b=4.465 c=5.045 alpha=116.26 beta=108.90 gamma=90.00
Site moments in Bohr magnetons follow the coordinates.
Atoms (fractional coordinates):
Mo (0.016, 0.016, 0.033)  0.07
Mo (0.755, 0.255, 0.509)  -0.01
Fe (0.488, 0.488, 0.976)  2.23
In (0.241, 0.741, 0.482)  -0.02



Entry from the Alexandria database: InFeMo after structural relaxation (PBEsol).

Calculated values
- ΔE_f (eV/atom) = 0.180
- VASP energy (eV per atom) = -7.725

Unit cell a=2.894 b=2.894 c=5.757 alpha=104.56 beta=104.56 gamma=90.00
Site moments in Bohr magnetons follow the coordinates.
Atoms (fractional coordinates):
Mo (0.359, 0.359, 0.717)  -0.01
Fe (0.984, 0.984, 0.967)  0.05
In (0.658, 0.658, 0.315)  0.00



Entry from the Alexandria database: InFeMo2 after structural relaxation (PBEsol).

Calculated values
- ΔE_f (eV/atom) = 0.244
- VASP energy (eV per atom) = -8.626

Unit cell a=3.203 b=3.203 c=6.042 alpha=90.00 beta=90.00 gamma=90.00
Site moments in Bohr magnetons follow the coordinates.
Atoms (fractional coordinates):
Fe (0.000, 0.000, 0.477)  2.06
Mo (0.000, 0.000, 0.033)  0.27
Mo (0.500, 0.500, 0.255)  -0.09
In (0.500, 0.500, 0.735)  -0.03



Entry from the Alexandria database: InFeMo2 after structural relaxation (PBEsol).

Calculated values
- ΔE_f (eV/atom) = 0.361
- VASP energy (eV per atom) = -8.510

Unit cell a=3.945 b=3.945 c=4.821 alpha=114.15 beta=114.15 gamma=90.00
Site moments in Bohr magnetons follow the coordinates.
Atoms (fractional coordinates):
Mo (0.000, 0.000, 0.000)  0.14
Mo (0.750, 0.250, 0.500)  -0.11
Fe (0.500, 0.500, 0.000)  2.23
In (0.250, 0.750, 0.500)  -0.03



Entry from the Alexandria database: InFe2N after structural relaxation (PBEsol).

Calculated values
- VASP energy (eV per atom) = -6.216
- ΔE_f (raw) (eV per atom) = 1.1433

Unit cell a=4.159 b=4.159 c=4.159 alpha=60.00 beta=60.00 gamma=60.00
Site moments in Bohr magnetons follow the coordinates.
Atoms (fractional coordinates):
In (0.500, 0.500, 0.500)  -0.11
Fe (0.250, 0.250, 0.250)  2.71
Fe (0.750, 0.750, 0.750)  2.71
N (0.000, 0.000, 0.000)  0.26



Entry from the Alexandria database: InFeN2O after structural relaxation (PBEsol).

Calculated values
- VASP energy (eV per atom) = -5.365
- ΔE_f (raw) (eV per atom) = 1.4848

Unit cell a=4.064 b=4.104 c=4.104 alpha=90.00 beta=90.00 gamma=90.00
Site moments in Bohr magnetons follow the coordinates.
Atoms (fractional coordinates):
N (0.000, 0.500, 0.000)  0.71
N (0.000, 0.000, 0.500)  0.71
O (0.500, 0.000, 0.000)  0.43
Fe (0.500, 0.500, 0.500)  3.63
In (0.000, 0.000, 0.000)  0.04



Entry from the Alexandria database: InFe2SbN after structural relaxation (PBEsol).

Calculated values
- VASP energy (eV per atom) = -6.383
- ΔE_f (raw) (eV per atom) = 0.4153

Unit cell a=3.966 b=3.966 c=4.885 alpha=90.00 beta=90.00 gamma=90.00
Site moments in Bohr magnetons follow the coordinates.
Atoms (fractional coordinates):
In (0.000, 0.000, 0.500)  0.01
Fe (0.000, 0.500, 0.000)  2.56
Fe (0.500, 0.000, 0.000)  2.56
Sb (0.500, 0.500, 0.500)  0.06
N (0.000, 0.000, 0.000)  0.08



Entry from the Alexandria database: NaIn2Fe2 after structural relaxation (PBEsol).

Calculated values
- ΔE_f (eV/atom) = 0.447
- VASP energy (eV per atom) = -4.611

Unit cell a=4.819 b=5.345 c=4.819 alpha=63.21 beta=90.00 gamma=116.79
Site moments in Bohr magnetons follow the coordinates.
Atoms (fractional coordinates):
Fe (0.626, 0.251, 0.374)  1.84
Fe (0.374, 0.749, 0.626)  1.84
Na (0.000, 0.000, 0.000)  -0.01
In (0.250, 0.500, 0.250)  -0.07
In (0.750, 0.500, 0.750)  -0.07



Entry from the Alexandria database: YNb2InFe after structural relaxation (PBEsol).

Calculated values
- ΔE_f (eV/atom) = 2.154
- VASP energy (eV per atom) = -5.928

Unit cell a=4.849 b=4.849 c=5.362 alpha=90.00 beta=90.00 gamma=90.00
Site moments in Bohr magnetons follow the coordinates.
Atoms (fractional coordinates):
Y (0.000, 0.000, 0.000)  0.03
In (0.000, 0.000, 0.500)  0.00
Nb (0.000, 0.500, 0.000)  -0.13
Nb (0.500, 0.000, 0.000)  -0.13
Fe (0.500, 0.500, 0.500)  3.26



Entry from the Alexandria database: InFe2Ni after structural relaxation (PBEsol).

Calculated values
- ΔE_f (eV/atom) = 0.106
- VASP energy (eV per atom) = -6.661

Unit cell a=4.182 b=4.182 c=4.182 alpha=60.00 beta=60.00 gamma=60.00
Site moments in Bohr magnetons follow the coordinates.
Atoms (fractional coordinates):
Fe (0.250, 0.250, 0.250)  2.04
Fe (0.000, 0.000, 0.000)  2.67
Ni (0.750, 0.750, 0.750)  0.45
In (0.500, 0.500, 0.500)  -0.06



Entry from the Alexandria database: InFeNi2 after structural relaxation (PBEsol).

Calculated values
- ΔE_f (eV/atom) = -0.004
- VASP energy (eV per atom) = -6.069

Unit cell a=2.982 b=2.982 c=5.840 alpha=90.00 beta=90.00 gamma=90.00
Site moments in Bohr magnetons follow the coordinates.
Atoms (fractional coordinates):
Ni (0.000, 0.000, 0.788)  0.37
Ni (0.000, 0.000, 0.212)  0.37
In (0.500, 0.500, 0.500)  -0.03
Fe (0.500, 0.500, 0.000)  2.86



Entry from the Alexandria database: InFeNi6 after structural relaxation (PBEsol).

Calculated values
- ΔE_f (eV/atom) = -0.058
- VASP energy (eV per atom) = -6.169

Unit cell a=6.201 b=6.201 c=10.172 alpha=90.00 beta=90.00 gamma=109.90
Site moments in Bohr magnetons follow the coordinates.
Atoms (fractional coordinates):
Ni (0.245, 0.755, 0.739)  0.46
Ni (0.500, 0.500, 0.500)  0.46
Ni (0.114, 0.370, 0.619)  0.56
Ni (0.500, 0.500, 0.000)  0.17
Ni (0.630, 0.886, 0.619)  0.56
Ni (0.884, 0.640, 0.132)  0.34
Ni (0.370, 0.114, 0.619)  0.56
Ni (0.114, 0.370, 0.381)  0.56
Ni (0.755, 0.245, 0.739)  0.46
Ni (0.370, 0.114, 0.381)  0.56
Ni (0.630, 0.886, 0.381)  0.56
Ni (0.755, 0.245, 0.261)  0.46
Ni (0.116, 0.360, 0.868)  0.34
Ni (0.245, 0.755, 0.261)  0.46
Ni (0.886, 0.630, 0.381)  0.56
Ni (0.000, 0.000, 0.500)  0.66
Ni (0.886, 0.630, 0.619)  0.56
Ni (0.640, 0.884, 0.868)  0.34
Ni (0.360, 0.116, 0.132)  0.34
Ni (0.360, 0.116, 0.868)  0.34
Ni (0.884, 0.640, 0.868)  0.34
Ni (0.640, 0.884, 0.132)  0.34
Ni (0.000, 0.000, 0.000)  0.40
Ni (0.116, 0.360, 0.132)  0.34
In (0.500, 0.500, 0.747)  -0.03
In (0.500, 0.500, 0.253)  -0.03
In (0.255, 0.745, 0.000)  -0.03
In (0.745, 0.255, 0.000)  -0.03
Fe (0.748, 0.252, 0.500)  2.79
Fe (0.000, 0.000, 0.254)  2.80
Fe (0.252, 0.748, 0.500)  2.79
Fe (0.000, 0.000, 0.746)  2.80



Entry from the Alexandria database: InFe2Ni after structural relaxation (PBEsol).

Calculated values
- ΔE_f (eV/atom) = 0.114
- VASP energy (eV per atom) = -6.653

Unit cell a=3.315 b=3.893 c=4.771 alpha=114.08 beta=110.33 gamma=90.00
Site moments in Bohr magnetons follow the coordinates.
Atoms (fractional coordinates):
Fe (0.758, 0.758, 0.516)  2.47
Fe (0.242, 0.242, 0.484)  2.47
In (0.000, 0.500, 0.000)  -0.10
Ni (0.500, 0.000, 0.000)  0.40



Entry from the Alexandria database: InFe2O4 after structural relaxation (PBEsol).

Calculated values
- VASP energy (eV per atom) = -7.227
- ΔE_f (raw) (eV per atom) = -1.2407

Unit cell a=3.365 b=3.365 c=8.653 alpha=78.79 beta=78.79 gamma=60.00
Site moments in Bohr magnetons follow the coordinates.
Atoms (fractional coordinates):
Fe (0.214, 0.214, 0.359)  3.82
Fe (0.786, 0.786, 0.641)  3.82
O (0.873, 0.873, 0.381)  0.36
O (0.708, 0.708, 0.876)  0.12
O (0.127, 0.127, 0.619)  0.36
O (0.292, 0.292, 0.124)  0.12
In (0.000, 0.000, 0.000)  0.03